[1]
# Tb2EuPb, optimized geometry, DFT PBE
# VASP energy = -5.969 eV/atom
# energy above the lowest structure with this stoichiometry = 108 meV/atom
# ΔH_f (0 K) = -0.63 eV per formula unit
# magnetic moment = 7.40 μB/f.u.
data_Tb2EuPb
_symmetry_space_group_name_H-M 'P 4/m m m'
_symmetry_Int_Tables_number 123
_symmetry_space_group_name_Hall '-P 4 2'
_cell_length_a 4.215
_cell_length_b 4.215
_cell_length_c 7.004
_cell_angle_alpha 90.00
_cell_angle_beta 90.00
_cell_angle_gamma 90.00
loop_
_atom_site_label
_atom_site_type_symbol
_atom_site_fract_x
_atom_site_fract_y
_atom_site_fract_z
Tb1 Tb 0.000 0.000 0.227
Eu1 Eu 0.500 0.500 0.500
Pb1 Pb 0.500 0.500 0.000

[2]
# Tb2EuPb, optimized geometry, DFT PBE
# VASP energy = -6.077 eV/atom
# energy above the lowest structure with this stoichiometry = 0 meV/atom
# ΔH_f (0 K) = -1.06 eV per formula unit
# magnetic moment = 7.71 μB/f.u.
data_Tb2EuPb
_symmetry_space_group_name_H-M 'P 4/m m m'
_symmetry_Int_Tables_number 123
_symmetry_space_group_name_Hall '-P 4 2'
_cell_length_a 4.980
_cell_length_b 4.980
_cell_length_c 4.853
_cell_angle_alpha 90.00
_cell_angle_beta 90.00
_cell_angle_gamma 90.00
loop_
_atom_site_label
_atom_site_type_symbol
_atom_site_fract_x
_atom_site_fract_y
_atom_site_fract_z
Tb1 Tb 0.000 0.500 0.000
Eu1 Eu 0.000 0.000 0.500
Pb1 Pb 0.500 0.500 0.500

[3]
# TbEuPb2, optimized geometry, DFT PBE
# VASP energy = -6.046 eV/atom
# ΔH_f (0 K) = -1.86 eV per formula unit
# magnetic moment = 7.26 μB/f.u.
data_TbEuPb2
_symmetry_space_group_name_H-M 'P 4/m m m'
_symmetry_Int_Tables_number 123
_symmetry_space_group_name_Hall '-P 4 2'
_cell_length_a 5.149
_cell_length_b 5.149
_cell_length_c 4.501
_cell_angle_alpha 90.00
_cell_angle_beta 90.00
_cell_angle_gamma 90.00
loop_
_atom_site_label
_atom_site_type_symbol
_atom_site_fract_x
_atom_site_fract_y
_atom_site_fract_z
Tb1 Tb 0.000 0.000 0.000
Eu1 Eu 0.500 0.500 0.000
Pb1 Pb 0.000 0.500 0.500

[4]
# TbEuTlPb, optimized geometry, DFT PBE
# VASP energy = -5.659 eV/atom
# ΔH_f (0 K) = -1.66 eV per formula unit
# magnetic moment = 7.22 μB/f.u.
data_TbEuTlPb
_symmetry_space_group_name_H-M 'F -4 3 m'
_symmetry_Int_Tables_number 216
_symmetry_space_group_name_Hall 'F -4 2 3'
_cell_length_a 7.811
_cell_length_b 7.811
_cell_length_c 7.811
_cell_angle_alpha 90.00
_cell_angle_beta 90.00
_cell_angle_gamma 90.00
loop_
_atom_site_label
_atom_site_type_symbol
_atom_site_fract_x
_atom_site_fract_y
_atom_site_fract_z
Tb1 Tb 0.000 0.000 0.000
Eu1 Eu 0.000 0.000 0.500
Tl1 Tl 0.250 0.250 0.750
Pb1 Pb 0.250 0.250 0.250

[5]
# Eu3Te12Pb5, optimized geometry, DFT PBE
# VASP energy = -4.864 eV/atom
# energy relative to the elements, uncorrected = -0.511 eV per atom
# magnetic moment = 19.51 μB/f.u.
data_Eu3Te12Pb5
_symmetry_space_group_name_H-M 'I a -3 d'
_symmetry_Int_Tables_number 230
_symmetry_space_group_name_Hall '-I 4bd 2c 3'
_cell_length_a 18.498
_cell_length_b 18.498
_cell_length_c 18.498
_cell_angle_alpha 90.00
_cell_angle_beta 90.00
_cell_angle_gamma 90.00
loop_
_atom_site_label
_atom_site_type_symbol
_atom_site_fract_x
_atom_site_fract_y
_atom_site_fract_z
Eu1 Eu 0.000 0.250 0.125
Te1 Te 0.014 0.072 0.656
Pb1 Pb 0.000 0.000 0.000
Pb2 Pb 0.000 0.250 0.375

[6]
# Eu2TePb, optimized geometry, DFT PBE
# VASP energy = -7.825 eV/atom
# energy above the lowest structure with this stoichiometry = 0 meV/atom
# energy relative to the elements, uncorrected = -0.976 eV per atom
# magnetic moment = 13.92 μB/f.u.
data_Eu2TePb
_symmetry_space_group_name_H-M 'R -3 m'
_symmetry_Int_Tables_number 166
_symmetry_space_group_name_Hall '-R 3 2"'
_cell_length_a 4.3632
_cell_length_b 4.3632
_cell_length_c 25.8897
_cell_angle_alpha 90.00
_cell_angle_beta 90.00
_cell_angle_gamma 120.00
loop_
_atom_site_label
_atom_site_type_symbol
_atom_site_fract_x
_atom_site_fract_y
_atom_site_fract_z
Eu1 Eu 0.0000 0.0000 0.2439
Te1 Te 0.0000 0.0000 0.5000
Pb1 Pb 0.0000 0.0000 0.0000